[1]
Ce5Sm2Ru3 after structural relaxation, computed with PBE-GGA.

Properties
DOS at the Fermi energy: 2.0209 states/eV per atom
ΔE_f: -0.20 eV/atom
Energy: -6.891 eV per atom

Cell: 6.209 9.431 9.574 Å, 103.97 103.49 103.67°
Atoms (fractional coordinates):
Ce 0.021 0.268 0.458
Ce 0.116 0.174 0.769
Ce 0.226 0.530 0.999
Ce 0.403 0.740 0.366
Ce 0.474 0.032 0.221
Ce 0.526 0.968 0.779
Ce 0.597 0.260 0.634
Ce 0.774 0.470 0.001
Ce 0.884 0.826 0.231
Ce 0.979 0.732 0.542
Sm 0.045 0.824 0.906
Sm 0.437 0.586 0.689
Sm 0.563 0.414 0.311
Sm 0.955 0.176 0.094
Ru 0.104 0.509 0.314
Ru 0.246 0.996 0.502
Ru 0.406 0.192 0.994
Ru 0.594 0.808 0.006
Ru 0.754 0.004 0.498
Ru 0.896 0.491 0.686


[2]
RbBiTeI2 after structural relaxation, computed with PBE-GGA.

Properties
Excess energy over the best structure of this formula in the dataset: 103.8 kJ/mol of atoms
DOS at the Fermi energy: 2.1320 states/eV per atom
Energy: -1.722 eV per atom
ΔE_f (raw): 0.496 eV per atom

Cell: 6.391 6.391 6.474 Å, 90.00 90.00 90.00°
Atoms (fractional coordinates):
Rb 0.000 0.000 0.000
Bi 0.500 0.500 0.500
Te 0.000 0.000 0.500
I 0.000 0.500 0.000
I 0.500 0.000 0.000


[3]
TcPO2F after structural relaxation, computed with PBE-GGA.

Properties
DOS at the Fermi energy: 0.6638 states/eV per atom
Energy: -5.914 eV per atom
ΔE_f (raw): -0.401 eV per atom

Cell: 3.849 3.849 4.349 Å, 90.00 90.00 90.00°
Atoms (fractional coordinates):
Tc 0.000 0.000 0.000
P 0.500 0.500 0.500
O 0.000 0.500 0.000
O 0.500 0.000 0.000
F 0.000 0.000 0.500


[4]
Rh3SeF after structural relaxation, computed with PBE-GGA.

Properties
Excess energy over the best structure of this formula in the dataset: 0.0 kJ/mol of atoms
DOS at the Fermi energy: 1.5213 states/eV per atom
Energy: -4.887 eV per atom
ΔE_f (raw): 0.595 eV per atom

Cell: 4.600 4.600 4.600 Å, 90.00 90.00 90.00°
Atoms (fractional coordinates):
Rh 0.000 0.000 0.500
Rh 0.000 0.500 0.000
Rh 0.500 0.000 0.000
Se 0.000 0.000 0.000
F 0.500 0.500 0.500


[5]
SmNp2O8 after structural relaxation, computed with PBE-GGA.

Properties
DOS at the Fermi energy: 0.7140 states/eV per atom
Energy: -8.908 eV per atom
ΔE_f (raw): -2.520 eV per atom

Cell: 6.988 6.988 4.234 Å, 90.00 90.00 120.00°
Atoms (fractional coordinates):
Sm 0.000 0.000 0.000
Np 0.333 0.667 0.744
Np 0.667 0.333 0.256
O 0.172 0.345 0.746
O 0.173 0.828 0.746
O 0.333 0.667 0.242
O 0.345 0.173 0.254
O 0.655 0.827 0.746
O 0.667 0.333 0.758
O 0.827 0.172 0.254
O 0.828 0.655 0.254


[6]
LaThTeN2 after structural relaxation, computed with PBE-GGA.

Properties
DOS at the Fermi energy: 1.0035 states/eV per atom
Energy: -7.876 eV per atom
ΔE_f (raw): -1.448 eV per atom

Cell: 7.440 7.440 5.822 Å, 90.00 90.00 133.81°
Atoms (fractional coordinates):
La 0.088 0.912 0.750
La 0.912 0.088 0.250
Th 0.418 0.582 0.750
Th 0.582 0.418 0.250
Te 0.249 0.751 0.250
Te 0.751 0.249 0.750
N 0.260 0.260 0.000
N 0.260 0.260 0.500
N 0.740 0.740 0.000
N 0.740 0.740 0.500